Computed, not measured: a relaxed structure of Tb4UP5 at the GGA-PBE level of DFT.

Output
energy relative to the elements: -1.49 eV/atom
final energy: -7.175 eV per atom
total magnetization: 1.91 μB per formula unit

Cell: 5.6608 6.9272 6.9272 Å, 80.39 65.88 65.88°
Last column: magnetic moment on the atom in μB.
Atoms (fractional coordinates):
Tb 0.4029 0.3989 0.7973  0.02
Tb 0.8018 0.7973 0.6011  0.02
Tb 0.2002 0.2027 0.3989  0.02
Tb 0.5991 0.6011 0.2027  0.02
U 0.0011 0.0000 0.0000  1.78
P 0.9044 0.3890 0.8042  -0.03
P 0.2934 0.8042 0.6110  -0.03
P 0.7086 0.1958 0.3890  -0.03
P 0.0976 0.6110 0.1958  -0.03
P 0.5011 0.0000 0.0000  -0.04



Computed, not measured: a relaxed structure of Tb2UP3 at the GGA-PBE level of DFT.

Output
energy relative to the elements: -1.40 eV/atom
final energy: -7.529 eV per atom
total magnetization: 2.30 μB per formula unit

Cell: 3.9964 3.9964 8.9116 Å, 102.96 102.96 90.00°
Last column: magnetic moment on the atom in μB.
Atoms (fractional coordinates):
Tb 0.1021 0.1035 0.2097  0.03
Tb 0.7664 0.7677 0.5382  0.03
U 0.4341 0.4358 0.8740  2.06
P 0.9341 0.9359 0.8740  -0.07
P 0.2705 0.2718 0.5463  -0.03
P 0.5981 0.5994 0.2016  -0.03



Computed, not measured: a relaxed structure of TbU2P4 at the GGA-PBE level of DFT.

Output
energy relative to the elements: -0.82 eV/atom
final energy: -7.801 eV per atom
total magnetization: 2.85 μB per formula unit

Cell: 3.9417 6.8659 12.3487 Å, 90.00 90.00 106.68°
Last column: magnetic moment on the atom in μB.
Atoms (fractional coordinates):
Tb 0.6137 0.2274 0.7500  -0.01
Tb 0.3863 0.7726 0.2500  -0.01
U 0.1324 0.2647 0.4356  1.44
U 0.8676 0.7353 0.9356  1.44
U 0.1324 0.2647 0.0644  1.44
U 0.8676 0.7353 0.5644  1.44
P 0.7639 0.5277 0.1256  -0.06
P 0.7639 0.5277 0.3744  -0.06
P 0.2361 0.4723 0.8744  -0.06
P 0.2361 0.4723 0.6256  -0.06
P 0.9641 0.9282 0.7500  -0.06
P 0.0359 0.0718 0.2500  -0.06
P 0.5000 0.0000 0.0000  -0.07
P 0.5000 0.0000 0.5000  -0.07



Computed, not measured: a relaxed structure of Tb2YUP4 at the GGA-PBE level of DFT.

Output
energy relative to the elements: -1.46 eV/atom
final energy: -7.538 eV per atom
total magnetization: 2.06 μB per formula unit

Cell: 3.9847 6.9162 6.9201 Å, 109.22 90.00 90.00°
Last column: magnetic moment on the atom in μB.
Atoms (fractional coordinates):
Tb 0.5000 0.0000 0.5000  0.03
Tb 0.0000 0.5000 0.5000  0.02
Y 0.0000 0.0000 0.0000  0.01
U 0.5000 0.5000 0.0000  1.89
P 0.5000 0.2545 0.2445  -0.03
P 0.5000 0.7455 0.7555  -0.03
P 0.0000 0.2557 0.7562  -0.04
P 0.0000 0.7443 0.2438  -0.04